DFT (PBE-GGA) results for a relaxed PmHoErZn crystal.

abc: 3.5631 3.5631 8.6758
angles: 90.00 90.00 90.00
Closest atoms and distances in Å follow each position.
Space group P4mm (No. 99)
Asymmetric unit:
1 Pm 0.0000 0.0000 0.0000  4 Pm 3.56, 4 Er 3.60, 4 Ho 3.61
2 Ho 0.5000 0.5000 0.7017  4 Zn 3.08
3 Er 0.5000 0.5000 0.2970  4 Zn 3.06
4 Zn 0.0000 0.0000 0.4976  4 Er 3.06, 4 Ho 3.08

The formation energy is -0.17 eV per atom. The excess energy over the best structure of this formula in the dataset comes out at 0.00 eV per formula unit. Its final energy is -15.83 eV for the cell shown. For the mass density, the calculation gives 8.2 g/cm³.